Entry 1:
{"formula": "Ac2CdAsO6", "functional": "PBE-GGA", "state": "relaxed", "lattice": [[4.856, 0.000, 0.000], [0.000, 5.751, 0.000], [0.000, 0.000, 5.751]], "species": ["Ac", "Ac", "Cd", "As", "O", "O", "O", "O", "O", "O"], "frac_coords": [[0.023, 0.500, 0.000], [0.023, 0.000, 0.500], [0.571, 0.500, 0.500], [0.612, 0.000, 0.000], [0.714, 0.232, 0.232], [0.714, 0.232, 0.768], [0.125, 0.500, 0.500], [0.238, 0.000, 0.000], [0.714, 0.768, 0.768], [0.714, 0.768, 0.232]], "raw_formation_energy_kj_per_mol_atoms": -206.8, "dos_at_fermi_per_ev_fu": 1.71}


Entry 2:
{"formula": "La2TaCo", "functional": "PBE-GGA", "state": "relaxed", "lattice": [[6.466, 0.112, -0.020], [3.496, 5.441, 0.020], [-4.453, -3.724, 2.851]], "species": ["Co", "La", "La", "Ta"], "frac_coords": [[0.297, 0.797, 0.500], [0.029, 0.029, 0.000], [0.737, 0.237, 0.500], [0.437, 0.437, 0.000]], "dos_at_fermi_per_ev_fu": 5.66, "e_above_lowest_polymorph_ev_per_atom": 0.082, "delta_e_f_ev_per_atom": 0.19}


Entry 3:
{"formula": "Be2CrHg", "functional": "PBE-GGA", "state": "relaxed", "lattice": [[-2.722, -1.364, 3.662], [1.252, -3.719, -2.698], [1.715, -1.283, 1.547]], "species": ["Cr", "Hg", "Be", "Be"], "frac_coords": [[0.500, 0.000, 0.500], [0.000, 0.500, 0.500], [0.000, 0.000, 0.000], [0.500, 0.500, 0.000]], "dos_at_fermi_per_ev_fu": 2.40, "e_above_lowest_polymorph_ev_per_atom": 0.250, "delta_e_f_ev_per_atom": 0.60}


Entry 4:
{"formula": "Cs3Pr3SbS8", "functional": "PBE-GGA", "state": "relaxed", "lattice": [[8.370, -0.001, 0.001], [-4.186, 7.250, -0.030], [0.001, -4.801, 8.269]], "species": ["Cs", "Cs", "Cs", "Pr", "Pr", "Pr", "Sb", "S", "S", "S", "S", "S", "S", "S", "S"], "frac_coords": [[0.000, 0.000, 0.000], [0.000, 0.500, 0.000], [0.500, 0.500, 0.000], [0.500, 0.000, 0.500], [0.500, 0.500, 0.500], [0.000, 0.500, 0.500], [0.000, 0.000, 0.500], [0.271, 0.542, 0.313], [0.729, 0.458, 0.687], [0.785, 0.570, 0.322], [0.215, 0.430, 0.678], [0.785, 0.037, 0.322], [0.215, 0.963, 0.678], [0.252, 0.037, 0.322], [0.748, 0.963, 0.678]], "raw_formation_energy_kj_per_mol_atoms": -141.5, "dos_at_fermi_per_ev_fu": 2.29}


What did the second record say?
{"formula": "La2TaCo", "functional": "PBE-GGA", "state": "relaxed", "lattice": [[6.466, 0.112, -0.020], [3.496, 5.441, 0.020], [-4.453, -3.724, 2.851]], "species": ["Co", "La", "La", "Ta"], "frac_coords": [[0.297, 0.797, 0.500], [0.029, 0.029, 0.000], [0.737, 0.237, 0.500], [0.437, 0.437, 0.000]], "dos_at_fermi_per_ev_fu": 5.66, "e_above_lowest_polymorph_ev_per_atom": 0.082, "delta_e_f_ev_per_atom": 0.19}


What did the fourth record say?
{"formula": "Cs3Pr3SbS8", "functional": "PBE-GGA", "state": "relaxed", "lattice": [[8.370, -0.001, 0.001], [-4.186, 7.250, -0.030], [0.001, -4.801, 8.269]], "species": ["Cs", "Cs", "Cs", "Pr", "Pr", "Pr", "Sb", "S", "S", "S", "S", "S", "S", "S", "S"], "frac_coords": [[0.000, 0.000, 0.000], [0.000, 0.500, 0.000], [0.500, 0.500, 0.000], [0.500, 0.000, 0.500], [0.500, 0.500, 0.500], [0.000, 0.500, 0.500], [0.000, 0.000, 0.500], [0.271, 0.542, 0.313], [0.729, 0.458, 0.687], [0.785, 0.570, 0.322], [0.215, 0.430, 0.678], [0.785, 0.037, 0.322], [0.215, 0.963, 0.678], [0.252, 0.037, 0.322], [0.748, 0.963, 0.678]], "raw_formation_energy_kj_per_mol_atoms": -141.5, "dos_at_fermi_per_ev_fu": 2.29}